Below is a PBEsol-optimized structure of SiOsCl2, with properties calculated at the meta-GGA SCAN level.

```
data_SiOsCl2
_chemical_formula_sum 'Si1 Os1 Cl2'
_symmetry_space_group_name_H-M 'P m m 2'
_symmetry_Int_Tables_number 25
_symmetry_space_group_name_Hall 'P 2 -2'
_cell_length_a 2.8870
_cell_length_b 3.5622
_cell_length_c 8.0443
_cell_angle_alpha 90.00
_cell_angle_beta 90.00
_cell_angle_gamma 90.00
loop_
_atom_site_label
_atom_site_type_symbol
_atom_site_fract_x
_atom_site_fract_y
_atom_site_fract_z
Si1 Si 0.0000 0.0000 0.0000
Os1 Os 0.5000 0.5000 0.8945
Cl1 Cl 0.0000 0.0000 0.2569
Cl2 Cl 0.5000 0.5000 0.6199
```

The uncorrected energy is -98.783 eV/cell. For the formation energy (no corrections), the calculation gives -22.5 kJ/mol of atoms. The density of states at the Fermi level comes out at 0.6 states/eV per cell. As for the energy above the most stable polymorph in this dataset: 0.000 eV/atom. The spin magnetization is 0.00 μB/atom.